Li3VBPO7 PBE with a Hubbard U relaxed; VASP energy = -179.02 eV for the cell shown; crystal system = monoclinic; space group = P2_1/m, No. 11
1.0
5.0708 0.0000 0.0000
0.0000 6.4129 0.0000
-0.8584 0.0000 8.4319
Li V B P O
6 2 2 2 14
direct
0.2294 0.2500 0.0952
0.2607 0.5017 0.7622
0.2607 0.9983 0.7622
0.7393 0.0017 0.2378
0.7393 0.4983 0.2378
0.7706 0.7500 0.9048
0.2129 0.7500 0.3206
0.7871 0.2500 0.6794
0.3001 0.7500 0.0409
0.6999 0.2500 0.9591
0.2643 0.2500 0.4185
0.7357 0.7500 0.5815
0.0421 0.7500 0.0837
0.1358 0.2500 0.5756
0.1688 0.0625 0.3097
0.1688 0.4375 0.3097
0.3748 0.7500 0.8918
0.4312 0.7500 0.5462
0.4919 0.7500 0.1765
0.5081 0.2500 0.8235
0.5688 0.2500 0.4538
0.6252 0.2500 0.1082
0.8312 0.5625 0.6903
0.8312 0.9375 0.6903
0.8642 0.7500 0.4244
0.9579 0.2500 0.9163